The following is a PBE calculation of Na3PdPb4 after structural relaxation, from the Alexandria database. Values from VASP.

```
&SYSTEM
  ibrav = 0, nat = 8, ntyp = 3
/
ATOMIC_SPECIES
Na 22.99 Na.upf
Pd 106.42 Pd.upf
Pb 207.20 Pb.upf
CELL_PARAMETERS angstrom
-2.557 3.729 6.013
2.557 -3.729 6.013
2.557 3.729 -6.013
ATOMIC_POSITIONS angstrom
Na 0.000 0.000 0.000
Na 2.557 0.000 4.527
Na 0.000 3.729 1.486
Pd 0.000 0.000 6.013
Pb 2.557 1.650 -1.859
Pb 2.557 1.650 1.859
Pb 0.000 2.079 4.154
Pb 0.000 2.079 7.871
```

Properties
- Energy of formation: -130 meV per atom
- Density: 7.3 Mg/m³
- Uncorrected energy: -25.02 eV per cell
- Magnetic moment: 0.00 μB/f.u.